Record 1
CrHg3As after structural relaxation. Source: Alexandria via LeMat-Bulk, functional GGA-PBE.

The calculation puts the energy above the most stable polymorph in this dataset at 39.2 meV/atom. The formation energy is 770 meV per atom. For the spin magnetization, the calculation gives 0.558 μB per atom.

The space group is Pm-3m (No. 221) and the conventional cell measures 5.320, 5.320 and 5.320 Å, with angles of 90.00, 90.00 and 90.00 degrees. The inequivalent atoms are Cr at (0.000, 0.000, 0.000), Hg at (0.000, 0.000, 0.500) and As at (0.500, 0.500, 0.500).

=====

Record 2
CsAl2Pt after structural relaxation. Source: Alexandria via LeMat-Bulk, functional GGA-PBE.

The formation energy is 499 meV per atom. For the spin magnetization, the calculation gives 0.000 μB per atom.

The space group is Fm-3m (No. 225) and the conventional cell measures 7.139, 7.139 and 7.139 Å, with angles of 90.00, 90.00 and 90.00 degrees. The inequivalent atoms are Cs at (0.000, 0.000, 0.000), Al at (0.250, 0.250, 0.250) and Pt at (0.000, 0.000, 0.500).

=====

Record 3
ThTaAl after structural relaxation. Source: Alexandria via LeMat-Bulk, functional GGA-PBE.

The formation energy is -122 meV per atom. For the spin magnetization, the calculation gives 0.000 μB per atom.

The space group is I4/mmm (No. 139) and the conventional cell measures 4.083, 4.083 and 16.818 Å, with angles of 90.00, 90.00 and 90.00 degrees. The inequivalent atoms are Th at (0.000, 0.000, 0.179), Ta at (0.000, 0.500, 0.000) and Al at (0.000, 0.000, 0.385).